<P>
Entry from Alexandria: a geometry-optimized Hf2Pd2I structure (GGA-PBE).

Results
The calculation puts the spin magnetization at 0.00 μB per cell. Its space group is No. 139.

Cell and atoms, written as extended XYZ:
```
5
Lattice="-2.4037 3.8893 -0.8700 -3.5554 -1.6335 2.5204 -0.8866 3.4131 5.2585" Properties=species:S:1:pos:R:3 pbc="T T T"
I 0.0000 0.0000 0.0000
Hf -3.1349 4.2152 2.6069
Hf -3.7107 1.4538 4.3021
Pd -2.4545 1.7012 1.9373
Pd -4.3911 3.9678 4.9716
```

---

<Q>
Entry from Alexandria: a geometry-optimized Hf2Pd2I structure (GGA-PBE).

Results
The calculation puts the spin magnetization at 0.00 μB per cell. Its space group is No. 127.

Cell and atoms, written as extended XYZ:
```
10
Lattice="7.8011 0.0000 0.0000 0.0000 7.8011 0.0000 0.0000 0.0000 3.4113" Properties=species:S:1:pos:R:3 pbc="T T T"
I 0.0000 0.0000 0.0000
I 3.9006 3.9006 0.0000
Hf 1.2166 5.1172 1.7057
Hf 5.1172 6.5845 1.7057
Hf 6.5845 2.6840 1.7057
Hf 2.6840 1.2166 1.7057
Pd 2.8906 6.7911 0.0000
Pd 6.7911 4.9105 0.0000
Pd 4.9105 1.0100 0.0000
Pd 1.0100 2.8906 0.0000
```

---

Order from most stable to least stable according to the calculation: <Q>, <P>